(1)
## NdDy3Er2 (PBE)

Data for crystalline NdDy3Er2 at its relaxed geometry.

Cell: 7.1504 7.1585 8.8211 Å, 78.24 78.28 60.11°
Element x y z (fractional)
1 Nd 0.2496 0.2505 0.0010
2 Nd 0.7504 0.7495 0.9990
3 Dy 0.1390 0.1392 0.6647
4 Dy 0.2504 0.7497 0.9994
5 Dy 0.3606 0.8604 0.3363
6 Dy 0.6394 0.1396 0.6637
7 Dy 0.7496 0.2503 0.0006
8 Dy 0.8610 0.8608 0.3353
9 Er 0.1399 0.6388 0.6638
10 Er 0.3607 0.3617 0.3352
11 Er 0.6393 0.6383 0.6648
12 Er 0.8601 0.3612 0.3362

Calculated values
* relative energy among the computed polymorphs: 0 meV per atom
* space-group type: P-1
* V: 380 Å³ per cell



(2)
## NdDy6Er3 (PBE)

Data for crystalline NdDy6Er3 at its relaxed geometry.

Cell: 11.4960 11.4960 6.3644 Å, 90.00 90.00 130.61°
Element x y z (fractional)
1 Nd 0.1619 0.8381 0.5000
2 Nd 0.8381 0.1619 0.0000
3 Dy 0.0152 0.9848 0.6974
4 Dy 0.1056 0.5429 0.1789
5 Dy 0.2614 0.3790 0.9363
6 Dy 0.3017 0.6983 0.7197
7 Dy 0.3790 0.2614 0.4363
8 Dy 0.4571 0.8944 0.1789
9 Dy 0.5429 0.1056 0.6789
10 Dy 0.6210 0.7386 0.9363
11 Dy 0.6983 0.3017 0.2197
12 Dy 0.7386 0.6210 0.4363
13 Dy 0.8944 0.4571 0.6789
14 Dy 0.9848 0.0152 0.1974
15 Er 0.0436 0.2962 0.5234
16 Er 0.2962 0.0436 0.0234
17 Er 0.4183 0.5817 0.4113
18 Er 0.5817 0.4183 0.9113
19 Er 0.7038 0.9564 0.5234
20 Er 0.9564 0.7038 0.0234

Calculated values
* relative energy among the computed polymorphs: 0 meV per atom
* space-group type: Cmc2_1
* V: 639 Å³ per cell



(3)
## Nd8Dy4Er (PBE)

Data for crystalline Nd8Dy4Er at its relaxed geometry.

Cell: 7.8610 7.8610 7.9178 Å, 90.25 90.25 90.14°
Element x y z (fractional)
1 Nd 0.2402 0.2402 0.2578
2 Nd 0.2398 0.7580 0.7392
3 Nd 0.2411 0.2411 0.7375
4 Nd 0.2420 0.7602 0.2608
5 Nd 0.7580 0.2398 0.7392
6 Nd 0.7589 0.7589 0.2625
7 Nd 0.7602 0.2420 0.2608
8 Nd 0.7598 0.7598 0.7422
9 Dy 0.0000 0.0000 0.5000
10 Dy 0.0000 0.5000 0.0000
11 Dy 0.5000 0.0000 0.0000
12 Dy 0.5000 0.5000 0.5000
13 Er 0.5000 0.5000 0.0000

Calculated values
* space-group type: C2/m
* V: 489 Å³ per cell



(4)
## NdDy2Er7 (PBE)

Data for crystalline NdDy2Er7 at its relaxed geometry.

Cell: 6.1132 7.0537 7.8891 Å, 77.08 75.07 73.19°
Element x y z (fractional)
1 Nd 0.0000 0.0000 0.0000
2 Dy 0.1999 0.3006 0.5996
3 Dy 0.8001 0.6994 0.4004
4 Er 0.0000 0.5000 0.0000
5 Er 0.2007 0.7994 0.5994
6 Er 0.3999 0.1002 0.2007
7 Er 0.4010 0.5988 0.2011
8 Er 0.5990 0.4012 0.7989
9 Er 0.6001 0.8998 0.7993
10 Er 0.7993 0.2006 0.4006

Calculated values
* relative energy among the computed polymorphs: 0 meV per atom
* space-group type: P-1
* V: 311 Å³ per cell



(5)
## Nd3DyEr12 (PBE)

Data for crystalline Nd3DyEr12 at its relaxed geometry.

Cell: 5.0060 5.0060 20.0390 Å, 90.00 90.00 90.00°
Element x y z (fractional)
1 Nd 0.0000 0.0000 0.0000
2 Nd 0.0000 0.0000 0.2507
3 Nd 0.0000 0.0000 0.7493
4 Dy 0.0000 0.0000 0.5000
5 Er 0.0000 0.5000 0.1255
6 Er 0.0000 0.5000 0.3767
7 Er 0.0000 0.5000 0.6233
8 Er 0.0000 0.5000 0.8745
9 Er 0.5000 0.0000 0.1255
10 Er 0.5000 0.0000 0.3767
11 Er 0.5000 0.0000 0.6233
12 Er 0.5000 0.0000 0.8745
13 Er 0.5000 0.5000 0.0000
14 Er 0.5000 0.5000 0.2514
15 Er 0.5000 0.5000 0.5000
16 Er 0.5000 0.5000 0.7486

Calculated values
* space-group type: P4/mmm
* V: 502 Å³ per cell



(6)
## Nd3Dy2Er7 (PBE)

Data for crystalline Nd3Dy2Er7 at its relaxed geometry.

Cell: 5.8021 3.5574 18.7359 Å, 90.00 93.09 90.00°
Element x y z (fractional)
1 Nd 0.0000 0.0000 0.0000
2 Nd 0.2767 0.5000 0.6331
3 Nd 0.7233 0.5000 0.3669
4 Dy 0.2112 0.0000 0.2919
5 Dy 0.7888 0.0000 0.7081
6 Er 0.1912 0.5000 0.1434
7 Er 0.2428 0.0000 0.4619
8 Er 0.3062 0.0000 0.8252
9 Er 0.5000 0.5000 0.0000
10 Er 0.6938 0.0000 0.1748
11 Er 0.7572 0.0000 0.5381
12 Er 0.8088 0.5000 0.8566

Calculated values
* space-group type: P2/m
* V: 386 Å³ per cell



no.,E_form (eV per atom),E (eV/cell)
1,0.00,-55.44
2,0.12,-89.64
3,0.46,-55.10
4,0.02,-45.71
5,0.02,-73.28
6,0.09,-54.39